[1]
Computed, not measured: an optimized crystal structure of U2Co12P7 at the PBE level of DFT.

a = 8.952 Å, b = 8.952 Å, c = 3.602 Å
α = 90.00°, β = 90.00°, γ = 120.00°
Atoms (fractional coordinates):
U 0.000 0.000 0.000
U 0.333 0.667 0.500
Co 0.048 0.770 0.500
Co 0.107 0.396 0.000
Co 0.230 0.278 0.500
Co 0.289 0.893 0.000
Co 0.391 0.213 0.000
Co 0.544 0.114 0.500
Co 0.570 0.456 0.500
Co 0.604 0.711 0.000
Co 0.722 0.952 0.500
Co 0.787 0.178 0.000
Co 0.822 0.609 0.000
Co 0.886 0.430 0.500
P 0.068 0.622 0.000
P 0.268 0.042 0.500
P 0.378 0.446 0.000
P 0.554 0.932 0.000
P 0.667 0.333 0.000
P 0.774 0.732 0.500
P 0.958 0.226 0.500

Output
Space group ... P-6, No. 174
Spin magnetization ... 1.7 μB per formula unit
Raw total energy ... -7.62 eV per atom



[2]
Computed, not measured: an optimized crystal structure of ZnTcW at the PBE level of DFT.

a = 5.970 Å, b = 5.970 Å, c = 5.970 Å
α = 90.00°, β = 90.00°, γ = 90.00°
Atoms (fractional coordinates):
Zn 0.000 0.000 0.000
Zn 0.000 0.500 0.500
Zn 0.500 0.000 0.500
Zn 0.500 0.500 0.000
Tc 0.250 0.250 0.750
Tc 0.250 0.750 0.250
Tc 0.750 0.250 0.250
Tc 0.750 0.750 0.750
W 0.000 0.000 0.500
W 0.000 0.500 0.000
W 0.500 0.000 0.000
W 0.500 0.500 0.500

Output
Space group ... F-43m, No. 216
Energy of formation from the pure elements ... 64.9 kJ/mol of atoms
Spin magnetization ... 0.0 μB per formula unit
ΔE to the lowest computed polymorph ... 0.00 eV per formula unit